(1)
VASP calculation (PBE) on crystalline LiFeCoBi at its relaxed geometry.

a = 4.3611 Å, b = 4.3611 Å, c = 4.3611 Å
α = 60.00°, β = 60.00°, γ = 60.00°
With the nearest neighbours (Å) after each atom.
Positions (direct):
1 Li 0.2500 0.2500 0.2500  4 Fe 2.67, 4 Bi 2.67
2 Fe 0.5000 0.5000 0.5000  4 Li 2.67, 4 Co 2.67
3 Bi 0.0000 0.0000 0.0000  4 Co 2.67, 4 Li 2.67
4 Co 0.7500 0.7500 0.7500  4 Bi 2.67, 4 Fe 2.67

Values from the calculation:
Calculated volume   58.65 Å³ per cell
Magnetization   1.046 μB per atom
Energy   -20.725 eV/cell
Space group   F-43m, No. 216


(2)
VASP calculation (PBE) on crystalline CsBaCd at its relaxed geometry.

a = 5.9840 Å, b = 5.9840 Å, c = 5.9840 Å
α = 60.00°, β = 60.00°, γ = 60.00°
With the nearest neighbours (Å) after each atom.
Positions (direct):
1 Cs 0.0000 0.0000 0.0000  4 Cd 3.66, 4 Ba 3.66
2 Cd 0.7500 0.7500 0.7500  4 Cs 3.66
3 Ba 0.2500 0.2500 0.2500  4 Cs 3.66

Values from the calculation:
Calculated volume   151.52 Å³ per cell
Energy   -2.570 eV/cell
Space group   F-43m, No. 216


(3)
VASP calculation (PBE) on crystalline InCu8 at its relaxed geometry.

a = 3.5636 Å, b = 4.3977 Å, c = 27.9849 Å
α = 89.73°, β = 90.00°, γ = 66.12°
With the nearest neighbours (Å) after each atom.
Positions (direct):
1 Cu 0.4498 0.1003 0.3118  9 Cu 2.52-2.57
2 Cu 0.0515 0.8969 0.5433  12 Cu 2.52-2.56
3 Cu 0.6495 0.7010 0.4856  12 Cu 2.53-2.56
4 Cu 0.7523 0.4954 0.2829  6 Cu 2.52-2.57, 3 In 2.72
5 Cu 0.1512 0.6975 0.6299  12 Cu 2.53-2.56
6 In 0.0506 0.8988 0.2377  6 Cu 2.72-2.99
7 Cu 0.9484 0.1030 0.4567  12 Cu 2.52-2.56
8 Cu 0.8499 0.3001 0.6591  11 Cu 2.53-2.57
9 In 0.9495 0.1014 0.7623  6 Cu 2.72-2.99
10 Cu 0.8489 0.3024 0.3700  12 Cu 2.53-2.56
11 Cu 0.5483 0.9033 0.3989  12 Cu 2.53-2.56
12 Cu 0.4516 0.0967 0.6011  12 Cu 2.53-2.56
13 Cu 0.1501 0.6999 0.3409  11 Cu 2.53-2.57
14 Cu 0.7513 0.4973 0.5718  12 Cu 2.52-2.57
15 Cu 0.2477 0.5046 0.7171  6 Cu 2.52-2.57, 3 In 2.72
16 Cu 0.5502 0.8997 0.6882  9 Cu 2.52-2.57
17 Cu 0.2487 0.5027 0.4282  12 Cu 2.52-2.57
18 Cu 0.3506 0.2990 0.5144  12 Cu 2.53-2.56

Values from the calculation:
Calculated volume   401.02 Å³ per cell
Energy   -63.432 eV/cell
Space group   C2/m, No. 12


(4)
VASP calculation (PBE) on crystalline BeAlCoAu at its relaxed geometry.

a = 4.1711 Å, b = 4.1711 Å, c = 4.1711 Å
α = 60.00°, β = 60.00°, γ = 60.00°
With the nearest neighbours (Å) after each atom.
Positions (direct):
1 Al 0.0000 0.0000 0.0000  4 Be 2.55, 4 Co 2.55
2 Be 0.2500 0.2500 0.2500  4 Au 2.55, 4 Al 2.55
3 Co 0.7500 0.7500 0.7500  4 Al 2.55, 4 Au 2.55
4 Au 0.5000 0.5000 0.5000  4 Be 2.55, 4 Co 2.55

Values from the calculation:
Calculated volume   51.31 Å³ per cell
Magnetization   0.086 μB per atom
Energy   -18.045 eV/cell
Space group   F-43m, No. 216


(5)
VASP calculation (PBE) on crystalline BePAuO at its relaxed geometry.

a = 3.7790 Å, b = 3.7790 Å, c = 7.7080 Å
α = 90.00°, β = 90.00°, γ = 90.00°
With the nearest neighbours (Å) after each atom.
Positions (direct):
1 P 0.5000 0.0000 0.3461  4 Be 2.23
2 O 0.0000 0.0000 0.0000  4 Au 2.19
3 Be 0.5000 0.5000 0.5000  4 P 2.23
4 Au 0.0000 0.5000 0.1440  4 O 2.19
5 Be 0.0000 0.0000 0.5000  4 P 2.23
6 P 0.0000 0.5000 0.6540  4 Be 2.23
7 O 0.5000 0.5000 0.0000  4 Au 2.19
8 Au 0.5000 0.0000 0.8560  4 O 2.19

Values from the calculation:
Calculated volume   110.08 Å³ per cell
Energy   -31.471 eV/cell
Space group   P4/nmm, No. 129


(6)
VASP calculation (PBE) on crystalline LaPr2GdZn12Ge6 at its relaxed geometry.

a = 7.6753 Å, b = 4.1067 Å, c = 13.2954 Å
α = 90.00°, β = 90.01°, γ = 90.00°
With the nearest neighbours (Å) after each atom.
Positions (direct):
1 Ge 0.8094 0.5000 0.1909  5 Zn 2.53-2.65
2 Zn 0.9053 0.0000 0.0941  2 Zn 2.51-2.53, 2 Ge 2.53
3 Zn 0.1436 0.5000 0.8546  3 Ge 2.52-2.66, 2 Zn 2.81
4 Ge 0.3095 0.5000 0.3096  5 Zn 2.53-2.65
5 Zn 0.2096 0.5000 0.5003  3 Ge 2.51-2.65
6 Pr 0.4995 0.0000 0.1671  6 Ge 3.15-3.16, 9 Zn 3.25-3.44
7 Zn 0.7119 0.5000 0.0000  3 Ge 2.54-2.68, 2 Zn 2.83
8 Zn 0.1443 0.5000 0.1450  3 Ge 2.53-2.65, 2 Zn 2.83
9 Ge 0.3045 0.5000 0.6897  5 Zn 2.52-2.68
10 La 0.4997 0.0000 0.8327  6 Ge 3.16-3.18, 9 Zn 3.26-3.44
11 Zn 0.1888 0.0000 0.0008  2 Zn 2.51, 2 Ge 2.53
12 Pr 0.0003 0.0000 0.3340  6 Ge 3.15-3.17, 9 Zn 3.26-3.43
13 Zn 0.9086 0.0000 0.9040  2 Zn 2.51-2.53, 2 Ge 2.53
14 Ge 0.3807 0.5000 0.0001  5 Zn 2.53-2.66
15 Ge 0.8128 0.5000 0.8072  5 Zn 2.52-2.68
16 Zn 0.4060 0.0000 0.4057  2 Zn 2.50-2.52, 2 Ge 2.53
17 Zn 0.6453 0.5000 0.6442  3 Ge 2.52-2.68, 2 Zn 2.82
18 Zn 0.6453 0.5000 0.3560  3 Ge 2.53-2.67, 2 Zn 2.83
19 Ge 0.8829 0.5000 0.5026  5 Zn 2.51-2.67
20 Zn 0.6895 0.0000 0.5016  4 Zn 2.52-2.82, 2 Ge 2.53
21 Gd 0.0005 0.0000 0.6662  6 Ge 3.12-3.13, 9 Zn 3.23-3.43
22 Zn 0.4019 0.0000 0.5937  2 Zn 2.50-2.52, 2 Ge 2.53

Values from the calculation:
Calculated volume   419.07 Å³ per cell
Magnetization   0.000 μB per atom
Energy   -71.388 eV/cell
Space group   Pm, No. 6


(7)
VASP calculation (PBE) on crystalline BPd2O4 at its relaxed geometry.

a = 5.7548 Å, b = 5.7548 Å, c = 5.7548 Å
α = 119.96°, β = 90.07°, γ = 119.96°
With the nearest neighbours (Å) after each atom.
Positions (direct):
1 O 0.6442 0.2885 0.9326  1 B 1.49
2 O 0.0674 0.7115 0.3558  1 B 1.49
3 O 0.1058 0.7885 0.8943  1 B 1.49
4 Pd 0.3750 0.7500 0.1250  6 O 2.20
5 B 0.0000 0.0000 0.0000  4 O 1.49
6 Pd 0.3750 0.7500 0.6250  6 O 2.20
7 B 0.7500 0.5000 0.2500  4 O 1.49
8 O 0.6443 0.2885 0.3558  1 B 1.49
9 O 0.6442 0.7115 0.3557  1 B 1.49
10 Pd 0.3750 0.2500 0.6250  6 O 2.20
11 O 0.1058 0.2115 0.3174  1 B 1.49
12 O 0.6826 0.7885 0.8942  1 B 1.49
13 O 0.1057 0.2115 0.8942  1 B 1.49
14 Pd 0.8750 0.2500 0.6250  6 O 2.20

Values from the calculation:
Calculated volume   134.85 Å³ per cell
Energy   -83.059 eV/cell
Space group   I4_1/amd, No. 141


(8)
VASP calculation (PBE) on crystalline HfCu at its relaxed geometry.

a = 4.4187 Å, b = 4.4187 Å, c = 5.2107 Å
α = 90.00°, β = 90.00°, γ = 120.00°
With the nearest neighbours (Å) after each atom.
Positions (direct):
1 Cu 0.3333 0.6667 0.4376  5 Hf 2.55-2.61
2 Cu 0.0000 0.0000 0.9376  5 Hf 2.55-2.61
3 Hf 0.0000 0.0000 0.4374  5 Cu 2.55-2.61
4 Hf 0.3333 0.6667 0.9374  5 Cu 2.55-2.61

Values from the calculation:
Calculated volume   88.11 Å³ per cell
Magnetization   0.010 μB per atom
Formation energy   0.733 eV per atom
Space group   P6_3/mmc, No. 194


(9)
VASP calculation (PBE) on crystalline ZnCu17 at its relaxed geometry.

a = 4.3912 Å, b = 5.0856 Å, c = 31.6821 Å
α = 90.00°, β = 90.04°, γ = 90.00°
With the nearest neighbours (Å) after each atom.
Positions (direct):
1 Cu 0.4987 0.4981 0.6969  11 Cu 2.52-2.57, 1 Zn 2.65
2 Cu 0.6664 0.2500 0.7636  7 Cu 2.53-2.57, 2 Zn 2.54
3 Cu 0.9997 0.7500 0.3025  12 Cu 2.53-2.56
4 Zn 0.3332 0.2500 0.2337  9 Cu 2.54-2.65
5 Cu 0.3326 0.2500 0.6315  12 Cu 2.53-2.55
6 Cu 0.8333 0.0002 0.6317  12 Cu 2.53-2.55
7 Cu 0.3336 0.7500 0.2364  7 Cu 2.53-2.57, 2 Zn 2.54
8 Cu 0.1667 0.9998 0.3683  12 Cu 2.53-2.55
9 Cu 0.3331 0.2500 0.4342  12 Cu 2.53-2.55
10 Cu 0.6669 0.7500 0.5658  12 Cu 2.53-2.55
11 Cu 0.1666 0.5004 0.5658  12 Cu 2.53-2.55
12 Cu 0.8334 0.4996 0.4342  12 Cu 2.53-2.55
13 Cu 0.9999 0.7500 0.4999  12 Cu 2.54-2.55
14 Cu 0.6674 0.7500 0.3685  12 Cu 2.53-2.55
15 Cu 0.0024 0.7500 0.6967  11 Cu 2.52-2.58, 1 Zn 2.65
16 Cu 0.1667 0.4974 0.7636  7 Cu 2.52-2.58, 2 Zn 2.54-2.55
17 Cu 0.0003 0.2500 0.6975  12 Cu 2.53-2.56
18 Cu 0.6660 0.2500 0.3683  12 Cu 2.52-2.55
19 Cu 0.0001 0.2500 0.5001  12 Cu 2.54-2.55
20 Cu 0.6667 0.2500 0.5658  12 Cu 2.54-2.55
21 Cu 0.3333 0.7500 0.4342  12 Cu 2.54-2.55
22 Cu 0.4987 0.0019 0.6969  11 Cu 2.52-2.57, 1 Zn 2.65
23 Cu 0.1667 0.0026 0.7636  7 Cu 2.52-2.58, 2 Zn 2.54-2.55
24 Cu 0.5000 0.0000 0.5000  12 Cu 2.54-2.55
25 Cu 0.8333 0.4998 0.6317  12 Cu 2.53-2.55
26 Cu 0.8333 0.5026 0.2364  7 Cu 2.52-2.58, 2 Zn 2.54-2.55
27 Cu 0.8333 0.9974 0.2364  7 Cu 2.52-2.58, 2 Zn 2.54-2.55
28 Cu 0.5013 0.9981 0.3031  11 Cu 2.52-2.57, 1 Zn 2.65
29 Cu 0.3340 0.7500 0.6317  12 Cu 2.52-2.55
30 Cu 0.5000 0.5000 0.5000  12 Cu 2.54-2.55
31 Zn 0.6668 0.7500 0.7663  9 Cu 2.54-2.65
32 Cu 0.8334 0.0004 0.4342  12 Cu 2.53-2.55
33 Cu 0.1667 0.5002 0.3683  12 Cu 2.53-2.55
34 Cu 0.9976 0.2500 0.3033  11 Cu 2.52-2.58, 1 Zn 2.65
35 Cu 0.5013 0.5019 0.3031  11 Cu 2.52-2.57, 1 Zn 2.65
36 Cu 0.1666 0.9996 0.5658  12 Cu 2.53-2.55

Values from the calculation:
Calculated volume   707.52 Å³ per cell
Formation energy   0.078 eV per atom
Space group   P2_1/m, No. 11


(10)
VASP calculation (PBE) on crystalline PmNdNO at its relaxed geometry.

a = 4.3249 Å, b = 4.3249 Å, c = 8.4215 Å
α = 90.00°, β = 90.00°, γ = 90.00°
With the nearest neighbours (Å) after each atom.
Positions (direct):
1 Nd 0.2500 0.2500 0.1155  4 O 2.37
2 O 0.7500 0.2500 0.0000  4 Nd 2.37
3 Pm 0.2500 0.7500 0.5000  4 N 2.43
4 N 0.2500 0.2500 0.6325  4 Pm 2.43
5 O 0.2500 0.7500 0.0000  4 Nd 2.37
6 Nd 0.7500 0.7500 0.8845  4 O 2.37
7 N 0.7500 0.7500 0.3675  4 Pm 2.43
8 Pm 0.7500 0.2500 0.5000  4 N 2.43

Values from the calculation:
Calculated volume   157.52 Å³ per cell
Magnetization   0.201 μB per atom
Energy   -58.203 eV/cell
Space group   P4/nmm, No. 129


(11)
VASP calculation (PBE) on crystalline CdCoHgGe at its relaxed geometry.

a = 4.6863 Å, b = 4.6863 Å, c = 4.6863 Å
α = 60.00°, β = 60.00°, γ = 60.00°
With the nearest neighbours (Å) after each atom.
Positions (direct):
1 Co 0.7500 0.7500 0.7500  4 Ge 2.87, 4 Hg 2.87
2 Hg 0.5000 0.5000 0.5000  4 Cd 2.87, 4 Co 2.87
3 Ge 0.0000 0.0000 0.0000  4 Co 2.87, 4 Cd 2.87
4 Cd 0.2500 0.2500 0.2500  4 Hg 2.87, 4 Ge 2.87

Values from the calculation:
Calculated volume   72.77 Å³ per cell
Magnetization   0.211 μB per atom
Energy   -11.079 eV/cell
Space group   F-43m, No. 216


(12)
VASP calculation (PBE) on crystalline TbSmFe2Pb at its relaxed geometry.

a = 3.8858 Å, b = 7.4516 Å, c = 7.4516 Å
α = 30.56°, β = 90.00°, γ = 90.00°
With the nearest neighbours (Å) after each atom.
Positions (direct):
1 Fe 0.0000 0.2051 0.2051  2 Fe 2.33
2 Tb 0.5000 0.6380 0.6380  6 Fe 2.93-2.95
3 Sm 0.5000 0.3631 0.3631  6 Fe 2.95-2.99
4 Pb 0.0000 0.0018 0.0018  2 Fe 2.92-3.02
5 Fe 0.0000 0.7919 0.7919  2 Fe 2.33

Values from the calculation:
Calculated volume   109.72 Å³ per cell
Magnetization   0.609 μB per atom
Energy   -30.534 eV/cell
Space group   Amm2, No. 38